Record 1
Computed, not measured: a relaxed structure of LaCuO3 at the PBE level of DFT.

Cell lengths 4.8206, 4.8206, 4.8206 Å; angles 84.14, 84.14, 84.14 degrees
Sites, in units of the cell vectors:
Cu  0.8862  0.8862  0.8862
O  0.6565  0.1000  0.6565
O  0.1000  0.6565  0.6565
O  0.6565  0.6565  0.1000
La  0.5758  0.5758  0.5758

## Properties
**E_form (uncorrected)**: -7.66 eV per formula unit
**Total DFT energy (no corrections)**: -6.312 eV/atom
**Density of states at the Fermi level**: 0.000 states/eV per atom
**Total magnetic moment**: 0.4000 μB/atom

Record 2
Computed, not measured: a relaxed structure of Sc3FeGe at the PBE level of DFT.

Cell lengths 4.7238, 4.7238, 4.7238 Å; angles 90.00, 90.00, 90.00 degrees
Sites, in units of the cell vectors:
Sc  0.5000  0.0000  0.0000
Fe  0.0000  0.0000  0.0000
Ge  0.5000  0.5000  0.5000
Sc  0.0000  0.0000  0.5000
Sc  0.0000  0.5000  0.0000

## Properties
**Total DFT energy (no corrections)**: -6.450 eV/atom
**Density of states at the Fermi level**: 0.610 states/eV per atom
**Polymorph energy (0 for the lowest one)**: 0.000 eV per atom
**Total magnetic moment**: 0.0000 μB/atom